Here is crystalline CsS2IO8 at its relaxed geometry from the Alexandria database. Energies are from PBE.

abc: 5.982 5.982 9.573
angles: 113.27 113.27 52.37
Sites, in units of the cell vectors:
Cs 0.000 0.000 0.000
S 0.409 0.409 0.259
S 0.591 0.591 0.741
I 0.000 0.000 0.500
O 0.263 0.723 0.666
O 0.277 0.737 0.334
O 0.293 0.293 0.299
O 0.378 0.378 0.095
O 0.622 0.622 0.905
O 0.707 0.707 0.701
O 0.723 0.263 0.666
O 0.737 0.277 0.334

Summary:
E_form (uncorrected) (eV/f.u.): -14.7
Final energy (eV per atom): -5.417